Record 1
This record from OQMD via LeMat-Bulk describes a relaxed structure of CoSiP. The functional is PBE.

Output
- total DFT energy (no corrections) (eV per atom) = -6.320
- symmetry = P4_2/mmc (131)
- mass density (g/cm3) = 5.09

Lattice parameters (Å, degrees): 3.7432 3.7432 5.4913 90.00 90.00 90.00
With the nearest neighbours (Å) after each atom.
Fractional positions:
P: 0.0000 0.0000 0.7500  4 Co 2.32
Si: 0.5000 0.5000 0.7500  4 Co 2.32
Co: 0.5000 0.0000 0.5000  4 Si 2.32, 4 P 2.32
Si: 0.5000 0.5000 0.2500  4 Co 2.32
P: 0.0000 0.0000 0.2500  4 Co 2.32
Co: 0.0000 0.5000 0.0000  4 Si 2.32, 4 P 2.32

***

Record 2
This record from OQMD via LeMat-Bulk describes a relaxed structure of PrCoSi2Au. The functional is PBE.

Output
- total DFT energy (no corrections) (eV per atom) = -5.792
- symmetry = I-4m2 (119)
- mass density (g/cm3) = 8.59

Lattice parameters (Å, degrees): 5.8634 5.8634 5.8634 138.50 138.50 60.14
With the nearest neighbours (Å) after each atom.
Fractional positions:
Si: 0.8696 0.3696 0.5000  1 Si 2.43, 2 Au 2.46, 2 Co 2.46
Co: 0.0000 0.0000 0.0000  4 Si 2.46
Si: 0.6304 0.1304 0.5000  1 Si 2.43, 2 Co 2.46, 2 Au 2.46
Au: 0.5000 0.5000 0.0000  4 Si 2.46
Pr: 0.2500 0.7500 0.5000  8 Si 3.18, 4 Co 3.28, 4 Au 3.28

***

Record 3
This record from OQMD via LeMat-Bulk describes a relaxed structure of LaTaO3. The functional is PBE.

Output
- total DFT energy (no corrections) (eV per atom) = -6.911
- symmetry = Pm-3m (221)
- mass density (g/cm3) = 6.81

Lattice parameters (Å, degrees): 4.4754 4.4754 4.4754 90.00 90.00 90.00
With the nearest neighbours (Å) after each atom.
Fractional positions:
O: 0.0000 0.5000 0.5000  2 La 2.24
O: 0.5000 0.0000 0.5000  2 La 2.24
Ta: 0.0000 0.0000 0.0000  12 O 3.16
La: 0.5000 0.5000 0.5000  6 O 2.24
O: 0.5000 0.5000 0.0000  2 La 2.24

***

Record 4
This record from OQMD via LeMat-Bulk describes a relaxed structure of NpPaTe. The functional is PBE.

Output
- symmetry = F-43m (216)
- relative energy among the computed polymorphs (meV/atom) = 0
- mass density (g/cm3) = 10.59

Lattice parameters (Å, degrees): 5.0931 5.0931 5.0931 60.00 60.00 60.00
With the nearest neighbours (Å) after each atom.
Fractional positions:
Pa: 0.7500 0.7500 0.7500  4 Te 3.12
Te: 0.0000 0.0000 0.0000  4 Pa 3.12, 4 Np 3.12
Np: 0.2500 0.2500 0.2500  4 Te 3.12

***

Record 5
This record from OQMD via LeMat-Bulk describes a relaxed structure of Cu2Ag3. The functional is PBE.

Output
- symmetry = C2/m (12)
- relative energy among the computed polymorphs (meV/atom) = 62
- mass density (g/cm3) = 9.63
- E_form (eV/atom) = 0.0943

Lattice parameters (Å, degrees): 11.5202 11.5202 4.7892 96.34 96.34 14.25
With the nearest neighbours (Å) after each atom.
Fractional positions:
Cu: 0.5483 0.5483 0.8492  8 Ag 2.72-2.79, 4 Cu 2.77-2.86
Ag: 0.9506 0.9506 0.6490  8 Cu 2.73-2.79, 4 Ag 2.79-2.86
Ag: 0.8541 0.8541 0.9591  6 Cu 2.72-2.82, 6 Ag 2.79-2.91
Ag: 0.0494 0.0494 0.3510  8 Cu 2.73-2.79, 4 Ag 2.79-2.86
Cu: 0.3526 0.3526 0.4514  9 Ag 2.74-2.91, 3 Cu 2.82-2.86
Ag: 0.2476 0.2476 0.7452  9 Ag 2.76-2.91, 3 Cu 2.77-2.91
Ag: 0.1459 0.1459 0.0409  6 Cu 2.72-2.82, 6 Ag 2.79-2.91
Cu: 0.4517 0.4517 0.1508  8 Ag 2.72-2.79, 4 Cu 2.77-2.86
Cu: 0.6474 0.6474 0.5486  9 Ag 2.74-2.91, 3 Cu 2.82-2.86
Ag: 0.7524 0.7524 0.2548  9 Ag 2.76-2.91, 3 Cu 2.77-2.91

***

- Which formula does entry 5 have?
  Cu2Ag3

***

- Which formula does entry 5 have?
  Cu2Ag3

***

- Among the records above, which one has the lowest mass density?
  CoSiP